1.
Here is an optimized crystal structure of PrSi2Rh3 from Alexandria via LeMat-Bulk. Energies are from PBE-GGA.

Results
SG = C2/m
Formation energy without anion corrections = -0.945 eV/atom
Fermi-level density of states = 0.50 states/eV per atom

Unit cell a=4.0134 b=8.2924 c=9.8280 alpha=107.34 beta=90.00 gamma=104.00
With the nearest neighbours (Å) after each atom.
Atoms (fractional coordinates):
Pr 0.0000 0.0000 0.0000  6 Si 3.02-3.17, 6 Rh 3.07-3.13
Pr 0.1598 0.3196 0.6999  6 Si 3.10-3.14, 9 Rh 3.14-3.42
Pr 0.8402 0.6804 0.3001  6 Si 3.10-3.14, 9 Rh 3.14-3.42
Si 0.1963 0.3926 0.1264  6 Rh 2.44-2.56
Si 0.8037 0.6074 0.8736  6 Rh 2.44-2.56
Si 0.3614 0.7227 0.5544  7 Rh 2.34-2.57
Si 0.4674 0.9348 0.2277  5 Rh 2.41-2.61
Si 0.6386 0.2773 0.4456  7 Rh 2.34-2.57
Si 0.5326 0.0652 0.7723  5 Rh 2.41-2.61
Rh 0.5000 0.0000 0.5000  4 Si 2.45-2.56
Rh 0.6760 0.3520 0.9583  4 Si 2.44-2.56
Rh 0.3240 0.6480 0.0417  4 Si 2.44-2.56
Rh 0.2182 0.4364 0.3936  4 Si 2.36-2.54
Rh 0.0428 0.0856 0.3328  4 Si 2.41-2.57
Rh 0.9572 0.9144 0.6672  4 Si 2.41-2.57
Rh 0.7818 0.5636 0.6064  4 Si 2.36-2.54
Rh 0.3765 0.7530 0.7994  4 Si 2.34-2.61
Rh 0.6235 0.2470 0.2006  4 Si 2.34-2.61



2.
Here is an optimized crystal structure of ZnSbS3 from Alexandria via LeMat-Bulk. Energies are from PBE-GGA.

Results
SG = Pm-3m
Formation energy without anion corrections = 0.318 eV/atom
Fermi-level density of states = 0.63 states/eV per atom
ΔE to the lowest computed polymorph = 0.5451 eV/atom

Unit cell a=4.6523 b=4.6523 c=4.6523 alpha=90.00 beta=90.00 gamma=90.00
With the nearest neighbours (Å) after each atom.
Atoms (fractional coordinates):
S 0.5000 0.0000 0.0000  2 Zn 2.33
S 0.0000 0.5000 0.0000  2 Zn 2.33
S 0.0000 0.0000 0.5000  2 Zn 2.33
Sb 0.5000 0.5000 0.5000  12 S 3.29
Zn 0.0000 0.0000 0.0000  6 S 2.33



3.
Here is an optimized crystal structure of GaPBr from Alexandria via LeMat-Bulk. Energies are from PBE-GGA.

Results
SG = P2_1/m
Formation energy without anion corrections = -0.299 eV/atom
Fermi-level density of states = 0.18 states/eV per atom
ΔE to the lowest computed polymorph = 0.2006 eV/atom

Unit cell a=4.7740 b=3.4491 c=9.8942 alpha=90.00 beta=98.04 gamma=90.00
With the nearest neighbours (Å) after each atom.
Atoms (fractional coordinates):
P 0.3362 0.7500 0.9737  2 P 2.34, 1 Ga 2.46
P 0.6638 0.2500 0.0263  2 P 2.34, 1 Ga 2.46
Ga 0.9737 0.2500 0.8471  3 P 2.46-2.63, 2 Br 2.55
Ga 0.0263 0.7500 0.1529  3 P 2.46-2.63, 2 Br 2.55
Br 0.2153 0.2500 0.3330  2 Ga 2.55
Br 0.7847 0.7500 0.6670  2 Ga 2.55



4.
Here is an optimized crystal structure of TlRu2SeO from Alexandria via LeMat-Bulk. Energies are from PBE-GGA.

Results
SG = P4/mmm
Formation energy without anion corrections = 2.279 eV/atom
Fermi-level density of states = 1.65 states/eV per atom

Unit cell a=5.2121 b=5.1669 c=5.2121 alpha=90.00 beta=90.00 gamma=90.00
With the nearest neighbours (Å) after each atom.
Atoms (fractional coordinates):
Se 0.0000 0.5000 0.0000  2 Tl 2.58
Tl 0.0000 0.0000 0.0000  2 Se 2.58, 4 Ru 2.61
Ru 0.5000 0.0000 0.0000  2 Tl 2.61
Ru 0.0000 0.0000 0.5000  2 Tl 2.61
O 0.5000 0.5000 0.5000  8 Ru 3.67, 4 Se 3.69



5.
Here is an optimized crystal structure of TcSe2NO from Alexandria via LeMat-Bulk. Energies are from PBE-GGA.

Results
SG = P4/mmm
Formation energy without anion corrections = 1.393 eV/atom
Fermi-level density of states = 0.67 states/eV per atom
ΔE to the lowest computed polymorph = 0.5804 eV/atom

Unit cell a=4.2487 b=4.2487 c=3.7894 alpha=90.00 beta=90.00 gamma=90.00
With the nearest neighbours (Å) after each atom.
Atoms (fractional coordinates):
Tc 0.5000 0.5000 0.5000  8 Se 2.85, 4 N 3.00
O 0.0000 0.0000 0.0000  2 N 1.89
Se 0.5000 0.0000 0.0000  2 O 2.12
Se 0.0000 0.5000 0.0000  2 O 2.12
N 0.0000 0.0000 0.5000  2 O 1.89



6.
Here is an optimized crystal structure of Li2ZrAl from Alexandria via LeMat-Bulk. Energies are from PBE-GGA.

Results
SG = F-43m
Fermi-level density of states = 0.61 states/eV per atom
Formation energy from the elements = -6 kJ/mol of formula units

Unit cell a=4.6537 b=4.6537 c=4.6537 alpha=60.00 beta=60.00 gamma=60.00
With the nearest neighbours (Å) after each atom.
Atoms (fractional coordinates):
Zr 0.2500 0.2500 0.2500  4 Li 2.85, 4 Al 2.85
Li 0.7500 0.7500 0.7500  4 Li 2.85, 4 Al 2.85
Li 0.5000 0.5000 0.5000  4 Zr 2.85, 4 Li 2.85
Al 0.0000 0.0000 0.0000  4 Zr 2.85, 4 Li 2.85



7.
Here is an optimized crystal structure of Zr2TaMn from Alexandria via LeMat-Bulk. Energies are from PBE-GGA.

Results
SG = F-43m
Fermi-level density of states = 1.36 states/eV per atom
ΔE to the lowest computed polymorph = 0.2179 eV/atom
Formation energy from the elements = 78 kJ/mol of formula units

Unit cell a=4.6695 b=4.6695 c=4.6695 alpha=60.00 beta=60.00 gamma=60.00
With the nearest neighbours (Å) after each atom.
Atoms (fractional coordinates):
Mn 0.5000 0.5000 0.5000  4 Ta 2.86, 4 Zr 2.86
Zr 0.2500 0.2500 0.2500  4 Mn 2.86, 4 Zr 2.86
Zr 0.0000 0.0000 0.0000  4 Zr 2.86, 4 Ta 2.86
Ta 0.7500 0.7500 0.7500  4 Mn 2.86, 4 Zr 2.86



8.
Here is an optimized crystal structure of K2AgF7 from Alexandria via LeMat-Bulk. Energies are from PBE-GGA.

Results
SG = C2/c
Formation energy without anion corrections = -1.551 eV/atom

Unit cell a=7.2070 b=7.8932 c=7.7260 alpha=72.36 beta=62.20 gamma=62.84
With the nearest neighbours (Å) after each atom.
Atoms (fractional coordinates):
Ag 0.8683 0.2500 0.7500  5 F 1.96-2.12
Ag 0.1317 0.7500 0.2500  5 F 1.96-2.12
K 0.3629 0.1035 0.2726  6 F 2.66-2.77
K 0.6371 0.8965 0.7274  6 F 2.66-2.77
K 0.2611 0.6035 0.7726  6 F 2.66-2.77
K 0.7389 0.3965 0.2274  6 F 2.66-2.77
F 0.9481 0.3463 0.4695  1 Ag 1.96
F 0.3090 0.4863 0.1798  1 Ag 1.97
F 0.5740 0.2500 0.7500  1 Ag 2.12
F 0.7640 0.1537 0.0305  1 Ag 1.96
F 0.2922 0.1853 0.6281  1 F 1.99
F 0.2360 0.8463 0.9695  1 Ag 1.96
F 0.7078 0.8147 0.3719  1 F 1.99
F 0.6910 0.5137 0.8202  1 Ag 1.97
F 0.0519 0.6537 0.5305  1 Ag 1.96
F 0.9750 0.0137 0.3202  1 Ag 1.97
F 0.8943 0.6853 0.1281  1 F 1.99
F 0.1057 0.3147 0.8719  1 F 1.99
F 0.4260 0.7500 0.2500  1 Ag 2.12
F 0.0250 0.9863 0.6798  1 Ag 1.97



9.
Here is an optimized crystal structure of Li3OsCl2F6 from Alexandria via LeMat-Bulk. Energies are from PBE-GGA.

Results
SG = C2/m
Formation energy without anion corrections = -1.955 eV/atom

Unit cell a=4.8814 b=6.3078 c=7.0159 alpha=116.71 beta=91.64 gamma=90.00
With the nearest neighbours (Å) after each atom.
Atoms (fractional coordinates):
Cl 0.2055 0.6762 0.3524  3 Li 2.31-2.40
Cl 0.7945 0.3238 0.6476  3 Li 2.31-2.40
F 0.7460 0.2673 0.0985  1 Os 1.91
F 0.2540 0.1687 0.9015  1 Os 1.91
F 0.7460 0.8313 0.0985  1 Os 1.91
F 0.3545 0.1415 0.2830  1 Os 1.93
F 0.6455 0.8585 0.7170  1 Os 1.93
F 0.2540 0.7327 0.9015  1 Os 1.91
Li 0.5000 0.5000 0.5000  2 F 2.19, 2 Cl 2.31
Li 0.5000 0.0000 0.5000  2 F 2.19, 2 Cl 2.31
Li 0.0000 0.5000 0.0000  4 F 2.27, 2 Cl 2.40
Os 0.5000 0.0000 0.0000  6 F 1.91-1.93



10.
Here is an optimized crystal structure of Ba2CaPt from Alexandria via LeMat-Bulk. Energies are from PBE-GGA.

Results
SG = Amm2
Fermi-level density of states = 0.97 states/eV per atom
ΔE to the lowest computed polymorph = 0.0754 eV/atom
Formation energy from the elements = -177 kJ/mol of formula units

Unit cell a=4.4431 b=7.2361 c=7.2360 alpha=52.90 beta=90.00 gamma=90.00
With the nearest neighbours (Å) after each atom.
Atoms (fractional coordinates):
Ba 0.0000 0.9094 0.9093  2 Pt 3.11
Ba 0.5000 0.2452 0.2454  2 Pt 3.22
Pt 0.5000 0.7412 0.7416  2 Ca 2.85, 2 Ba 3.11
Ca 0.0000 0.6042 0.6037  2 Pt 2.85



11.
Here is an optimized crystal structure of MgBeRu2 from Alexandria via LeMat-Bulk. Energies are from PBE-GGA.

Results
SG = Cmmm
Fermi-level density of states = 1.11 states/eV per atom
Formation energy from the elements = 29 kJ/mol of formula units

Unit cell a=2.7025 b=2.7025 c=7.9451 alpha=90.00 beta=90.00 gamma=112.66
With the nearest neighbours (Å) after each atom.
Atoms (fractional coordinates):
Mg 0.5000 0.5000 0.7500  4 Ru 2.69, 6 Mg 2.70-3.00
Ru 0.0000 0.0000 0.4688  2 Be 2.29
Ru 0.0000 0.0000 0.0312  2 Be 2.29
Be 0.5000 0.5000 0.2500  4 Ru 2.29



12.
Here is an optimized crystal structure of Pm5Nd2Sb4 from Alexandria via LeMat-Bulk. Energies are from PBE-GGA.

Results
SG = C2/m
Formation energy without anion corrections = -0.451 eV/atom
Fermi-level density of states = 1.02 states/eV per atom

Unit cell a=4.3299 b=7.4350 c=15.2618 alpha=123.59 beta=98.16 gamma=90.00
With the nearest neighbours (Å) after each atom.
Atoms (fractional coordinates):
Sb 0.2734 0.3159 0.5469  6 Pm 3.11-3.18
Sb 0.0677 0.3673 0.1354  4 Pm 3.17-3.27, 2 Nd 3.18-3.25
Sb 0.7266 0.6841 0.4531  6 Pm 3.11-3.18
Sb 0.9323 0.6327 0.8646  4 Pm 3.17-3.27, 2 Nd 3.18-3.25
Pm 0.8220 0.1735 0.6439  4 Sb 3.11-3.17
Pm 0.8315 0.6829 0.6630  4 Sb 3.14-3.27
Pm 0.1780 0.8265 0.3561  4 Sb 3.11-3.17
Pm 0.1685 0.3171 0.3370  4 Sb 3.14-3.27
Pm 0.5000 0.0000 0.0000  4 Sb 3.18
Nd 0.0542 0.7613 0.1084  2 Sb 3.18-3.25, 1 Nd 3.41, 1 Pm 3.49
Nd 0.9458 0.2387 0.8916  2 Sb 3.18-3.25, 1 Nd 3.41, 1 Pm 3.49



13.
Here is an optimized crystal structure of SrBe3Cd from Alexandria via LeMat-Bulk. Energies are from PBE-GGA.

Results
SG = Pm-3m
Fermi-level density of states = 0.67 states/eV per atom
ΔE to the lowest computed polymorph = 0.0000 eV/atom
Formation energy from the elements = 315 kJ/mol of formula units

Unit cell a=4.6141 b=4.6141 c=4.6141 alpha=90.00 beta=90.00 gamma=90.00
With the nearest neighbours (Å) after each atom.
Atoms (fractional coordinates):
Sr 0.5000 0.5000 0.5000  12 Be 3.26
Be 0.0000 0.5000 0.0000  2 Cd 2.31
Be 0.5000 0.0000 0.0000  2 Cd 2.31
Be 0.0000 0.0000 0.5000  2 Cd 2.31
Cd 0.0000 0.0000 0.0000  6 Be 2.31



14.
Here is an optimized crystal structure of Ag2AsPt from Alexandria via LeMat-Bulk. Energies are from PBE-GGA.

Results
SG = Cmmm
Fermi-level density of states = 0.59 states/eV per atom
Formation energy from the elements = 60 kJ/mol of formula units

Unit cell a=2.8657 b=2.8657 c=9.7714 alpha=90.00 beta=90.00 gamma=118.67
With the nearest neighbours (Å) after each atom.
Atoms (fractional coordinates):
As 0.5000 0.5000 0.2500  6 As 2.87-2.92, 4 Ag 2.88
Ag 0.0000 0.0000 0.5040  2 Pt 2.81, 6 Ag 2.87-2.92, 2 As 2.88
Ag 0.0000 0.0000 0.9960  2 Pt 2.81, 6 Ag 2.87-2.92, 2 As 2.88
Pt 0.5000 0.5000 0.7500  4 Ag 2.81, 6 Pt 2.87-2.92



15.
Here is an optimized crystal structure of BaAcCd17 from Alexandria via LeMat-Bulk. Energies are from PBE-GGA.

Results
SG = R3m
Fermi-level density of states = 0.39 states/eV per atom
Formation energy from the elements = -347 kJ/mol of formula units

Unit cell a=7.8207 b=7.8207 c=7.8207 alpha=82.55 beta=82.55 gamma=82.55
With the nearest neighbours (Å) after each atom.
Atoms (fractional coordinates):
Cd 0.4958 0.0039 0.0039  10 Cd 2.97-3.18
Cd 0.3590 0.8323 0.3590  8 Cd 2.93-3.22
Cd 0.8987 0.8987 0.8987  7 Cd 3.01-3.27
Cd 0.3590 0.3590 0.8323  8 Cd 2.93-3.22
Cd 0.1535 0.6468 0.6468  9 Cd 2.93-3.27
Cd 0.9994 0.7053 0.2960  8 Cd 2.97-3.22
Cd 0.9994 0.2960 0.7053  8 Cd 2.97-3.22
Cd 0.6468 0.1535 0.6468  9 Cd 2.93-3.27
Cd 0.8323 0.3590 0.3590  8 Cd 2.93-3.22
Cd 0.6468 0.6468 0.1535  9 Cd 2.93-3.27
Cd 0.0039 0.0039 0.4958  10 Cd 2.97-3.18
Cd 0.7053 0.2960 0.9994  8 Cd 2.97-3.22
Cd 0.0970 0.0970 0.0970  4 Cd 3.01-3.12
Cd 0.2960 0.7053 0.9994  8 Cd 2.97-3.22
Cd 0.7053 0.9994 0.2960  8 Cd 2.97-3.22
Cd 0.0039 0.4958 0.0039  10 Cd 2.97-3.18
Cd 0.2960 0.9994 0.7053  8 Cd 2.97-3.22
Ac 0.6660 0.6660 0.6660  13 Cd 3.54-3.78
Ba 0.3358 0.3358 0.3358  19 Cd 3.63-3.94